Entry 1:
A plane-wave DFT calculation with GGA+U was carried out for a geometry-optimized Fe2OF3 structure.

The space-group type is Pm, No. 6. The value obtained for the size of the total moment is 0.20 μB/f.u. The calculation puts the total energy at -5.103 eV per atom.

a b c (Å): 2.993 4.758 23.661
angles (deg): 88.81 90.00 90.00
Last column: magnetic moment on the atom in μB.
Sites, in units of the cell vectors:
F  0.500  0.186  0.360  0.01
F  0.000  0.327  0.656  -0.01
F  0.000  0.275  0.060  0.02
F  0.000  0.281  0.259  0.01
F  0.000  0.315  0.456  0.03
F  0.000  0.706  0.542  -0.02
F  0.500  0.174  0.963  0.00
F  0.000  0.702  0.140  0.01
F  0.500  0.196  0.559  -0.01
F  0.500  0.185  0.162  0.02
F  0.000  0.698  0.341  0.01
F  0.000  0.674  0.939  0.00
F  0.000  0.721  0.742  0.00
F  0.500  0.223  0.760  0.00
F  0.500  0.797  0.844  -0.02
Fe  0.500  0.503  0.098  0.05
Fe  0.500  0.536  0.697  -0.04
Fe  0.000  0.003  0.603  1.13
Fe  0.500  0.521  0.497  0.04
Fe  0.500  0.507  0.297  0.01
Fe  0.000  0.020  0.802  -0.02
Fe  0.500  0.473  0.896  1.11
Fe  0.000  0.976  0.204  -1.12
Fe  0.000  0.988  0.403  -1.15
Fe  0.000  0.965  0.003  -1.17
O  0.500  0.795  0.237  0.07
O  0.000  0.299  0.864  -0.06
O  0.500  0.843  0.640  -0.08
O  0.500  0.832  0.440  0.06
O  0.500  0.781  0.036  0.08

---

Entry 2:
A plane-wave DFT calculation with GGA+U was carried out for a geometry-optimized Fe6O5F7 structure.

The space-group type is P1, No. 1. The value obtained for the size of the total moment is 29.05 μB/f.u. The calculation puts the total energy at -5.917 eV per atom.

a b c (Å): 4.773 5.693 7.792
angles (deg): 85.49 88.22 87.85
Last column: magnetic moment on the atom in μB.
Sites, in units of the cell vectors:
Fe  0.523  0.477  0.999  4.39
Fe  0.520  0.848  0.674  4.42
Fe  0.987  0.321  0.667  4.42
Fe  0.964  0.007  0.996  4.41
Fe  0.472  0.188  0.332  4.39
Fe  0.023  0.661  0.332  3.85
O  0.701  0.198  0.111  0.38
O  0.805  0.039  0.771  0.38
O  0.316  0.471  0.221  0.33
O  0.694  0.541  0.768  0.34
O  0.302  0.125  0.563  0.33
F  0.800  0.360  0.439  0.12
F  0.199  0.625  0.581  0.10
F  0.198  0.292  0.898  0.13
F  0.298  0.801  0.906  0.12
F  0.802  0.707  0.092  0.12
F  0.198  0.977  0.219  0.11
F  0.696  0.863  0.430  0.10

---

Entry 3:
A plane-wave DFT calculation with GGA+U was carried out for a geometry-optimized Fe5O7F3 structure.

The space-group type is Pm, No. 6. The value obtained for the size of the total moment is 0.74 μB/f.u. The calculation puts the total energy at -6.081 eV per atom.

a b c (Å): 15.282 4.650 4.656
angles (deg): 88.42 90.00 90.00
Last column: magnetic moment on the atom in μB.
Sites, in units of the cell vectors:
O  0.103  0.182  0.811  -0.23
O  0.601  0.320  0.312  0.20
O  0.000  0.698  0.711  -0.21
O  0.897  0.182  0.811  -0.23
O  0.500  0.205  0.812  0.03
O  0.304  0.810  0.193  -0.04
O  0.694  0.201  0.801  -0.07
O  0.399  0.320  0.312  0.20
O  0.202  0.678  0.679  -0.10
O  0.306  0.201  0.801  -0.07
O  0.798  0.678  0.679  -0.10
O  0.696  0.810  0.193  -0.04
O  0.000  0.299  0.308  -0.11
O  0.500  0.818  0.199  0.03
Fe  0.401  0.026  0.020  4.11
Fe  0.700  0.506  0.498  4.20
Fe  0.000  0.022  0.990  -4.25
Fe  0.792  0.981  0.964  -4.30
Fe  0.300  0.506  0.498  4.20
Fe  0.096  0.490  0.527  -4.30
Fe  0.599  0.026  0.020  4.11
Fe  0.500  0.489  0.484  4.25
Fe  0.904  0.490  0.527  -4.30
Fe  0.208  0.981  0.964  -4.30
F  0.898  0.792  0.198  -0.10
F  0.801  0.292  0.295  -0.01
F  0.102  0.792  0.198  -0.10
F  0.199  0.292  0.295  -0.01
F  0.403  0.707  0.699  0.12
F  0.597  0.707  0.699  0.12

---

Entry 4:
A plane-wave DFT calculation with GGA+U was carried out for a geometry-optimized Fe2OF3 structure.

The space-group type is Cm, No. 8. The value obtained for the size of the total moment is 9.00 μB/f.u. The calculation puts the total energy at -5.761 eV per atom.

a b c (Å): 5.756 5.779 5.784
angles (deg): 105.61 66.66 70.24
Last column: magnetic moment on the atom in μB.
Sites, in units of the cell vectors:
Fe  0.248  0.499  0.252  3.83
Fe  0.528  0.968  0.504  3.81
Fe  0.754  0.502  0.744  4.40
Fe  0.967  0.037  0.995  4.42
O  0.691  0.321  0.988  0.29
O  0.814  0.673  0.513  0.25
F  0.231  0.810  0.578  0.11
F  0.203  0.279  0.518  0.09
F  0.767  0.808  0.041  0.11
F  0.230  0.192  0.959  0.11
F  0.767  0.192  0.426  0.11
F  0.300  0.717  0.983  0.10

---

Entry 5:
A plane-wave DFT calculation with GGA+U was carried out for a geometry-optimized Fe5O7F3 structure.

The space-group type is P-1, No. 2. The value obtained for the size of the total moment is 20.99 μB/f.u. The calculation puts the total energy at -6.019 eV per atom.

a b c (Å): 4.658 4.663 15.108
angles (deg): 90.32 90.04 88.46
Last column: magnetic moment on the atom in μB.
Sites, in units of the cell vectors:
F  0.711  0.306  0.897  -0.09
F  0.289  0.694  0.103  -0.09
F  0.211  0.204  0.803  -0.08
F  0.789  0.796  0.197  -0.08
F  0.206  0.201  0.399  -0.14
F  0.794  0.799  0.601  -0.14
O  0.700  0.301  0.303  -0.13
O  0.300  0.699  0.697  -0.13
O  0.308  0.692  0.301  -0.12
O  0.307  0.693  0.500  -0.05
O  0.809  0.809  0.001  0.15
O  0.191  0.191  0.999  0.15
O  0.823  0.818  0.400  -0.16
O  0.693  0.307  0.500  -0.05
O  0.692  0.308  0.699  -0.12
O  0.173  0.181  0.197  -0.05
O  0.827  0.819  0.803  -0.05
O  0.177  0.182  0.600  -0.16
O  0.675  0.308  0.101  -0.06
O  0.325  0.692  0.899  -0.06
Fe  0.474  0.475  0.599  -4.18
Fe  0.477  0.457  0.206  -4.27
Fe  0.999  0.007  0.702  -4.25
Fe  0.022  0.979  0.905  -3.01
Fe  0.001  0.993  0.298  -4.25
Fe  0.978  0.021  0.095  -3.01
Fe  0.500  0.500  0.000  -4.30
Fe  0.523  0.543  0.794  -4.27
Fe  0.000  0.000  0.500  -4.23
Fe  0.526  0.525  0.401  -4.18

---

Entry 6:
A plane-wave DFT calculation with GGA+U was carried out for a geometry-optimized FeOF structure.

The space-group type is Pm, No. 6. The value obtained for the size of the total moment is 2.00 μB/f.u. The calculation puts the total energy at -5.947 eV per atom.

a b c (Å): 3.050 9.483 9.489
angles (deg): 89.32 90.00 90.00
Last column: magnetic moment on the atom in μB.
Sites, in units of the cell vectors:
F  0.000  0.859  0.651  -0.01
F  0.500  0.911  0.904  -0.03
F  0.500  0.897  0.415  0.13
F  0.000  0.149  0.846  -0.07
F  0.000  0.657  0.347  0.10
F  0.500  0.405  0.396  0.10
F  0.500  0.091  0.604  0.11
F  0.000  0.338  0.160  0.12
Fe  0.000  0.001  0.012  1.24
Fe  0.000  0.008  0.496  4.41
Fe  0.500  0.727  0.748  -4.28
Fe  0.500  0.745  0.217  4.33
Fe  0.000  0.501  0.516  4.32
Fe  0.500  0.281  0.758  -4.26
Fe  0.000  0.510  0.991  4.33
Fe  0.500  0.226  0.246  4.38
O  0.500  0.095  0.094  0.08
O  0.000  0.146  0.354  0.36
O  0.500  0.403  0.908  -0.02
O  0.500  0.589  0.099  0.34
O  0.500  0.603  0.592  0.09
O  0.000  0.855  0.152  0.18
O  0.000  0.345  0.647  -0.07
O  0.000  0.659  0.847  -0.17

---

Entry 7:
A plane-wave DFT calculation with GGA+U was carried out for a geometry-optimized Fe5O4F8 structure.

The space-group type is F222, No. 22. The value obtained for the size of the total moment is 24.01 μB/f.u. The calculation puts the total energy at -5.630 eV per atom.

a b c (Å): 9.546 8.607 5.631
angles (deg): 81.29 63.03 35.67
Last column: magnetic moment on the atom in μB.
Sites, in units of the cell vectors:
Fe  0.750  0.750  0.750  4.04
Fe  0.413  0.413  0.087  4.43
Fe  0.340  0.340  0.660  4.39
Fe  0.087  0.087  0.413  4.43
Fe  0.660  0.660  0.340  4.39
F  0.749  0.251  0.749  0.13
F  0.630  0.200  0.275  0.15
F  0.895  0.275  0.200  0.15
F  0.973  0.527  0.973  0.13
F  0.200  0.630  0.895  0.15
F  0.275  0.895  0.630  0.15
F  0.251  0.749  0.251  0.13
F  0.527  0.973  0.527  0.13
O  0.478  0.861  0.119  0.20
O  0.119  0.542  0.478  0.20
O  0.861  0.478  0.542  0.20
O  0.542  0.119  0.861  0.20

---

Entry 8:
A plane-wave DFT calculation with GGA+U was carried out for a geometry-optimized FeOF structure.

The space-group type is Pmc2_1, No. 26. The value obtained for the size of the total moment is 5.00 μB/f.u. The calculation puts the total energy at -6.023 eV per atom.

a b c (Å): 3.097 6.682 6.689
angles (deg): 90.00 90.00 90.00
Last column: magnetic moment on the atom in μB.
Sites, in units of the cell vectors:
Fe  0.000  0.983  0.274  4.41
Fe  0.500  0.522  0.261  4.41
Fe  0.500  0.022  0.739  4.41
Fe  0.000  0.483  0.726  4.41
O  0.000  0.694  0.238  0.37
O  0.500  0.999  0.448  0.36
O  0.500  0.499  0.552  0.36
O  0.000  0.194  0.762  0.37
F  0.000  0.301  0.238  0.11
F  0.500  0.000  0.057  0.11
F  0.000  0.801  0.762  0.11
F  0.500  0.500  0.943  0.11

---

Entry 9:
A plane-wave DFT calculation with GGA+U was carried out for a geometry-optimized Fe6O7F6 structure.

The space-group type is C2/m, No. 12. The value obtained for the size of the total moment is 28.00 μB/f.u. The calculation puts the total energy at -5.870 eV per atom.

a b c (Å): 7.887 7.887 9.394
angles (deg): 81.58 81.58 28.15
Last column: magnetic moment on the atom in μB.
Sites, in units of the cell vectors:
F  0.868  0.868  0.624  0.14
F  0.827  0.827  0.924  0.14
F  0.934  0.934  0.301  0.16
F  0.173  0.173  0.076  0.14
F  0.132  0.132  0.376  0.14
F  0.066  0.066  0.699  0.16
O  0.295  0.295  0.428  0.24
O  0.637  0.637  0.882  0.06
O  0.771  0.771  0.239  0.12
O  0.363  0.363  0.118  0.06
O  0.000  0.000  0.000  0.14
O  0.229  0.229  0.761  0.12
O  0.705  0.705  0.572  0.24
Fe  0.173  0.173  0.563  4.38
Fe  0.110  0.110  0.899  4.16
Fe  0.827  0.827  0.437  4.38
Fe  0.242  0.242  0.229  4.33
Fe  0.758  0.758  0.771  4.33
Fe  0.890  0.890  0.101  4.16

---

Entry 10:
A plane-wave DFT calculation with GGA+U was carried out for a geometry-optimized Fe4O5F3 structure.

The space-group type is Cm, No. 8. The value obtained for the size of the total moment is 19.00 μB/f.u. The calculation puts the total energy at -6.049 eV per atom.

a b c (Å): 5.685 5.685 4.794
angles (deg): 84.59 84.59 63.89
Last column: magnetic moment on the atom in μB.
Sites, in units of the cell vectors:
O  0.355  0.838  0.306  0.18
O  0.161  0.649  0.696  0.19
O  0.157  0.157  0.818  0.32
O  0.649  0.161  0.696  0.19
O  0.838  0.355  0.306  0.18
F  0.655  0.655  0.798  0.14
F  0.341  0.341  0.201  0.14
F  0.839  0.839  0.166  0.11
Fe  0.000  0.489  0.989  4.37
Fe  0.496  0.496  0.493  4.11
Fe  0.021  0.021  0.542  4.36
Fe  0.489  0.000  0.989  4.37

---

Entry 11:
A plane-wave DFT calculation with GGA+U was carried out for a geometry-optimized Fe4O3F5 structure.

The space-group type is P1, No. 1. The value obtained for the size of the total moment is 13.00 μB/f.u. The calculation puts the total energy at -5.694 eV per atom.

a b c (Å): 4.743 6.110 9.503
angles (deg): 90.03 87.20 89.95
Last column: magnetic moment on the atom in μB.
Sites, in units of the cell vectors:
F  0.700  0.007  0.148  0.04
F  0.210  0.739  0.604  0.06
F  0.794  0.259  0.412  0.11
F  0.214  0.263  0.612  0.08
F  0.195  0.263  0.093  0.11
F  0.181  0.739  0.095  0.09
F  0.295  0.513  0.854  0.03
F  0.797  0.739  0.407  0.11
F  0.721  0.992  0.647  0.01
F  0.794  0.740  0.896  0.06
O  0.678  0.501  0.159  0.18
O  0.794  0.260  0.894  0.20
O  0.320  0.004  0.337  0.09
O  0.691  0.504  0.660  0.11
O  0.286  0.493  0.356  0.19
O  0.340  0.996  0.832  0.03
Fe  0.036  0.003  0.492  3.80
Fe  0.993  0.497  0.510  4.39
Fe  0.948  0.485  0.004  4.35
Fe  0.017  0.008  0.976  3.81
Fe  0.508  0.750  0.748  1.11
Fe  0.469  0.738  0.255  4.38
Fe  0.490  0.257  0.252  3.19
Fe  0.529  0.252  0.758  -0.95

---

Entry 12:
A plane-wave DFT calculation with GGA+U was carried out for a geometry-optimized Fe4OF7 structure.

The space-group type is P2_1, No. 4. The value obtained for the size of the total moment is 17.00 μB/f.u. The calculation puts the total energy at -5.665 eV per atom.

a b c (Å): 4.801 5.803 10.871
angles (deg): 81.80 90.00 90.00
Last column: magnetic moment on the atom in μB.
Sites, in units of the cell vectors:
F  0.305  0.531  0.582  0.08
F  0.712  0.725  0.173  0.09
F  0.683  0.964  0.431  0.06
F  0.292  0.282  0.330  0.08
F  0.696  0.241  0.683  0.06
F  0.805  0.469  0.418  0.08
F  0.709  0.469  0.914  0.09
F  0.183  0.036  0.569  0.06
F  0.212  0.275  0.827  0.09
F  0.806  0.975  0.927  0.06
F  0.196  0.759  0.317  0.06
F  0.792  0.718  0.670  0.08
F  0.306  0.025  0.073  0.06
F  0.209  0.531  0.086  0.09
Fe  0.512  0.011  0.246  3.80
Fe  0.983  0.480  0.245  4.38
Fe  0.001  0.753  0.495  3.82
Fe  0.483  0.520  0.755  4.38
Fe  0.993  0.244  0.010  3.84
Fe  0.493  0.756  0.990  3.84
Fe  0.012  0.989  0.754  3.80
Fe  0.501  0.247  0.505  3.82
O  0.809  0.241  0.182  0.30
O  0.309  0.759  0.818  0.30

---

Among the records above, which one has the highest size of the total moment?
Fe6O5F7

---

Look up the size of the total moment of the tenth one.
19.00 μB/f.u.